No. 1
Here is CaMoP3 at its PBEsol-relaxed geometry from Alexandria via LeMat-Bulk. Energies are from SCAN.

Geometry as POSCAR:
```
CaMoP3
1.0
4.684 0.000 0.000
0.000 4.684 0.000
0.000 0.000 4.684
P Mo Ca
3 1 1
Direct
0.000 0.500 0.000
0.000 0.000 0.500
0.500 0.000 0.000
0.000 0.000 0.000
0.500 0.500 0.500
```

D(E_F) = 0.33 states/eV/atom
E = -76.7 eV per cell
DFT formation energy = -183 meV per atom
Space group = Pm-3m, No. 221

No. 2
Here is CaMo2P at its PBEsol-relaxed geometry from Alexandria via LeMat-Bulk. Energies are from SCAN.

Geometry as POSCAR:
```
CaMo2P
1.0
-1.344 0.227 3.113
-1.117 -2.796 1.576
6.201 -1.911 4.671
Ca Mo P
1 2 1
Direct
0.000 0.000 0.000
0.219 0.219 0.342
0.781 0.781 0.658
0.500 0.500 0.500
```

D(E_F) = 0.38 states/eV/atom
E = -89.1 eV per cell
DFT formation energy = 181 meV per atom
Space group = R-3m, No. 166

No. 3
Here is CaMo3P at its PBEsol-relaxed geometry from Alexandria via LeMat-Bulk. Energies are from SCAN.

Geometry as POSCAR:
```
CaMo3P
1.0
-3.255 -1.812 2.557
-2.480 -0.764 -3.699
1.916 -4.069 -0.444
P Mo Ca
1 3 1
Direct
0.500 0.500 0.500
0.000 0.500 0.000
0.000 0.000 0.500
0.500 0.000 0.000
0.000 0.000 0.000
```

D(E_F) = 1.07 states/eV/atom
E = -109.4 eV per cell
DFT formation energy = 3061 meV per atom
Space group = Pm-3m, No. 221
Energy above the most stable polymorph in this dataset = 2517 meV per atom

No. 4
Here is CaMo2P at its PBEsol-relaxed geometry from Alexandria via LeMat-Bulk. Energies are from SCAN.

Geometry as POSCAR:
```
CaMo2P
1.0
3.178 0.000 0.000
0.000 4.949 0.030
-1.589 -1.200 4.547
Ca Mo P
1 2 1
Direct
0.000 0.500 0.000
0.216 0.160 0.432
0.784 0.840 0.568
0.500 0.000 0.000
```

D(E_F) = 0.76 states/eV/atom
E = -89.2 eV per cell
DFT formation energy = 161 meV per atom
Space group = C2/m, No. 12

No. 5
Here is CaMo2P at its PBEsol-relaxed geometry from Alexandria via LeMat-Bulk. Energies are from SCAN.

Geometry as POSCAR:
```
CaMo2P
1.0
2.822 0.000 0.000
0.000 4.784 0.000
-1.411 -2.392 5.075
Ca Mo P
1 2 1
Direct
0.000 0.500 0.000
0.802 0.802 0.605
0.198 0.198 0.395
0.500 0.000 0.000
```

D(E_F) = 0.66 states/eV/atom
E = -89.2 eV per cell
DFT formation energy = 168 meV per atom
Space group = Immm, No. 71

No. 6
Here is CaMo3P at its PBEsol-relaxed geometry from Alexandria via LeMat-Bulk. Energies are from SCAN.

Geometry as POSCAR:
```
CaMo3P
1.0
-0.820 0.490 -4.432
3.973 -1.966 -0.952
-2.025 -4.056 -0.074
P Mo Ca
1 3 1
Direct
0.000 0.000 0.000
0.000 0.500 0.000
0.000 0.000 0.500
0.500 0.000 0.000
0.500 0.500 0.500
```

D(E_F) = 1.41 states/eV/atom
E = -122.0 eV per cell
DFT formation energy = 543 meV per atom
Space group = Pm-3m, No. 221
Energy above the most stable polymorph in this dataset = 0 meV per atom